# Si2SnRhO (PBE-GGA, optimized geometry)
data_Si2SnRhO
_chemical_formula_sum 'Si4 Sn2 Rh2 O2'
_space_group_name_H-M_alt 'P 1'
_space_group_IT_number 1
_space_group_name_Hall 'P 1'
_cell_length_a 6.207
_cell_length_b 3.383
_cell_length_c 8.461
_cell_angle_alpha 90.00
_cell_angle_beta 108.31
_cell_angle_gamma 90.00
loop_
_atom_site_label
_atom_site_fract_x
_atom_site_fract_y
_atom_site_fract_z
Si1 0.583 0.000 0.671
Si2 0.856 0.000 0.476
Si3 0.583 0.500 0.171
Si4 0.856 0.500 0.976
Sn1 0.213 0.500 0.459
Sn2 0.213 0.000 0.959
Rh1 0.475 0.500 0.824
Rh2 0.475 0.000 0.324
O1 0.864 0.000 0.677
O2 0.864 0.500 0.177
# - energy relative to the lowest polymorph listed for this composition (meV/atom) = 42


# ScTeHN2 (PBE-GGA, optimized geometry)
data_ScTeHN2
_chemical_formula_sum 'Sc1 Te1 H1 N2'
_space_group_name_H-M_alt 'P 1'
_space_group_IT_number 1
_space_group_name_Hall 'P 1'
_cell_length_a 3.976
_cell_length_b 3.976
_cell_length_c 6.172
_cell_angle_alpha 90.00
_cell_angle_beta 90.00
_cell_angle_gamma 90.00
loop_
_atom_site_label
_atom_site_fract_x
_atom_site_fract_y
_atom_site_fract_z
Te1 0.000 0.000 0.500
N1 0.000 0.500 0.000
N2 0.500 0.000 0.000
H1 0.500 0.500 0.500
Sc1 0.000 0.000 0.000
# - energy relative to the lowest polymorph listed for this composition (meV/atom) = 156


# RbHg4Bi (PBE-GGA, optimized geometry)
data_RbHg4Bi
_chemical_formula_sum 'Rb1 Hg4 Bi1'
_space_group_name_H-M_alt 'P 1'
_space_group_IT_number 1
_space_group_name_Hall 'P 1'
_cell_length_a 6.375
_cell_length_b 6.375
_cell_length_c 6.375
_cell_angle_alpha 60.00
_cell_angle_beta 60.00
_cell_angle_gamma 60.00
loop_
_atom_site_label
_atom_site_fract_x
_atom_site_fract_y
_atom_site_fract_z
Hg1 0.124 0.625 0.625
Hg2 0.625 0.124 0.625
Hg3 0.625 0.625 0.124
Hg4 0.625 0.625 0.625
Bi1 0.000 0.000 0.000
Rb1 0.250 0.250 0.250
# - energy relative to the lowest polymorph listed for this composition (meV/atom) = 61


# Be2CdIn2 (PBE-GGA, optimized geometry)
data_Be2CdIn2
_chemical_formula_sum 'Be4 Cd2 In4'
_space_group_name_H-M_alt 'P 1'
_space_group_IT_number 1
_space_group_name_Hall 'P 1'
_cell_length_a 6.677
_cell_length_b 6.677
_cell_length_c 4.066
_cell_angle_alpha 90.00
_cell_angle_beta 90.00
_cell_angle_gamma 90.00
loop_
_atom_site_label
_atom_site_fract_x
_atom_site_fract_y
_atom_site_fract_z
Cd1 0.500 0.500 0.000
Cd2 0.000 0.000 0.000
In1 0.829 0.329 0.500
In2 0.329 0.171 0.500
In3 0.171 0.671 0.500
In4 0.671 0.829 0.500
Be1 0.383 0.883 0.000
Be2 0.117 0.383 0.000
Be3 0.617 0.117 0.000
Be4 0.883 0.617 0.000
# - energy (eV/atom) = -2.3898


N(E_F) / states/eV/f.u.: 1.31 3.13 4.00 1.58